{"formula": "Ac2LaCd", "functional": "GGA-PBE", "state": "relaxed", "lattice": [[3.995, 0.000, 0.000], [0.000, 3.995, 0.000], [0.000, 0.000, 9.490]], "species": ["Ac", "Ac", "Cd", "La"], "fractional_positions": [[0.000, 0.000, 0.778], [0.000, 0.000, 0.222], [0.500, 0.500, 0.000], [0.500, 0.500, 0.500]], "vol_a3_per_cell": 151, "total_energy_ev_per_atom": -3.652, "delta_e_f_kj_per_mol_atoms": -13.26, "magnetic_moment_mub_per_cell": 0.0}